[1]
Material: YCr2Ni
Method: DFT, PBE
State: relaxed

Calculated values
- volume (Å³/cell) = 69.2
- distance to the lowest polymorph of the same formula (meV per atom) = 335
- theoretical density (g cm⁻³) = 6.0
- magnetization (μB per cell) = 8.1
- E_form (eV per atom) = 0.54
- energy (eV per atom) = -7.329

Cell lengths 4.608, 4.608, 4.608 Å; angles 60.00, 60.00, 60.00 degrees
Positions (direct):
Y 0.000 0.000 0.000
Cr 0.250 0.250 0.250
Cr 0.750 0.750 0.750
Ni 0.500 0.500 0.500


[2]
Material: YCr2Ni
Method: DFT, PBE
State: relaxed

Calculated values
- volume (Å³/cell) = 65.9
- distance to the lowest polymorph of the same formula (meV per atom) = 265
- theoretical density (g cm⁻³) = 6.3
- magnetization (μB per cell) = 0.0
- E_form (eV per atom) = 0.47
- energy (eV per atom) = -7.399

Cell lengths 3.122, 4.578, 4.702 Å; angles 90.00, 101.29, 90.00 degrees
Positions (direct):
Y 0.000 0.000 0.000
Cr 0.320 0.500 0.667
Cr 0.680 0.500 0.333
Ni 0.500 0.000 0.500


[3]
Material: YCr2Ni
Method: DFT, PBE
State: relaxed

Calculated values
- volume (Å³/cell) = 62.1
- distance to the lowest polymorph of the same formula (meV per atom) = 342
- theoretical density (g cm⁻³) = 6.7
- magnetization (μB per cell) = 0.0
- E_form (eV per atom) = 0.55
- energy (eV per atom) = -7.322

Cell lengths 5.308, 5.308, 5.308 Å; angles 139.67, 139.67, 58.36 degrees
Positions (direct):
Y 0.000 0.000 0.000
Cr 0.250 0.750 0.500
Cr 0.750 0.250 0.500
Ni 0.500 0.500 0.000


[4]
Material: Y2CrNi
Method: DFT, PBE
State: relaxed

Calculated values
- volume (Å³/cell) = 181.6
- distance to the lowest polymorph of the same formula (meV per atom) = 350
- theoretical density (g cm⁻³) = 5.3
- magnetization (μB per cell) = 6.6
- E_form (eV per atom) = 0.36
- energy (eV per atom) = -6.727

Cell lengths 6.243, 6.243, 6.243 Å; angles 104.09, 104.09, 120.88 degrees
Positions (direct):
Y 0.084 0.625 0.959
Y 0.375 0.334 0.459
Y 0.666 0.125 0.041
Y 0.875 0.916 0.541
Cr 0.250 0.750 0.500
Cr 0.500 0.500 0.000
Ni 0.000 0.000 0.000
Ni 0.750 0.250 0.500


Which value of theoretical density does entry 1 give?
6.0 g cm⁻³